DFT (PBE) results for Nb3P after structural relaxation.

Summary:
For the magnetic moment, the calculation gives 0.00 μB per atom. The density of states at the Fermi level is 11.95 states/eV per cell. The calculation puts the calculated formation energy at -2.55 eV per formula unit.

Lattice parameters (Å, degrees): 7.6768 7.6768 7.6768 96.31 96.31 141.29
Last column: nearest neighbours and their distance in Å.
Positions (direct):
Nb (0.3416, 0.3274, 0.1832)  2 P 2.56-2.69, 1 Nb 2.66
Nb (0.1442, 0.1584, 0.8168)  2 P 2.56-2.69, 1 Nb 2.66
Nb (0.8416, 0.6584, 0.9858)  2 P 2.56-2.69, 1 Nb 2.66
Nb (0.6726, 0.8558, 0.0142)  2 P 2.56-2.69, 1 Nb 2.66
Nb (0.0031, 0.3443, 0.3748)  4 P 2.57-2.64
Nb (0.9695, 0.6284, 0.6252)  4 P 2.57-2.64
Nb (0.3716, 0.9969, 0.3411)  4 P 2.57-2.64
Nb (0.6557, 0.0305, 0.6589)  4 P 2.57-2.64
Nb (0.9595, 0.9308, 0.4047)  2 P 2.56-2.63
Nb (0.5261, 0.5548, 0.5953)  2 P 2.56-2.63
Nb (0.4452, 0.0405, 0.9713)  2 P 2.56-2.63
Nb (0.0692, 0.4739, 0.0287)  2 P 2.56-2.63
P (0.5149, 0.7780, 0.3220)  8 Nb 2.56-2.69
P (0.4560, 0.1929, 0.6780)  8 Nb 2.56-2.69
P (0.8071, 0.4851, 0.2631)  8 Nb 2.56-2.69
P (0.2220, 0.5440, 0.7369)  8 Nb 2.56-2.69